Nd8CdHg2: relaxed, PBE. Values from VASP.

Properties
E_form = -2.36 eV per formula unit
Energy above the most stable polymorph in this dataset = 0.0 kJ per mole of atoms
Fermi-level density of states = 0.985 states/eV per atom

```
&SYSTEM
  ibrav = 0, nat = 11, ntyp = 3
/
ATOMIC_SPECIES
Nd 144.24 Nd.upf
Hg 200.59 Hg.upf
Cd 112.41 Cd.upf
ATOMIC_POSITIONS angstrom
Nd -0.293 -5.742 4.105
Nd 0.473 -4.349 0.531
Nd -4.671 -2.674 4.208
Nd -0.332 -0.765 1.845
Nd 2.807 -6.914 2.188
Nd -3.432 0.407 3.762
Nd -1.097 -2.158 5.419
Nd 4.046 -3.833 1.743
Hg 1.501 -2.944 3.451
Hg -2.125 -3.563 2.499
Cd -1.473 -2.064 -1.120
CELL_PARAMETERS angstrom
-2.946 -4.128 -2.240
6.748 -5.511 1.283
-4.426 3.133 6.908
```